{"formula": "LiNi2OsO6", "functional": "PBE with a Hubbard U", "state": "optimized geometry", "lattice": [[2.561, 1.478, 4.669], [-2.561, 1.478, 4.669], [0.000, -2.957, 4.669]], "species": ["Li", "Ni", "Ni", "Os", "O", "O", "O", "O", "O", "O"], "frac_coords": [[0.000, 0.000, 0.000], [0.211, 0.211, 0.211], [0.717, 0.717, 0.717], [0.521, 0.521, 0.521], [0.144, 0.437, 0.776], [0.320, 0.904, 0.605], [0.437, 0.776, 0.144], [0.605, 0.320, 0.904], [0.776, 0.144, 0.437], [0.904, 0.605, 0.320]], "dos_ef_per_ev_atom": 0.32, "spacegroup": "R3", "rho_g_cm3": 6.43, "magmom_total_mub_per_cell": 5.017, "final_energy_ev_per_atom": -5.91}